(1)
An optimized crystal structure of Ni2AgOs, computed with GGA-PBE.

Excess energy over the best structure of this formula in the dataset, meV per atom: 211
Total magnetization, μB per formula unit: 1.443
Energy of formation from the pure elements, eV per atom: 0.40

extended XYZ file:
```
4
Lattice="-0.3143 -2.3235 1.2504 4.0269 -1.3548 -1.5053 1.9538 1.7169 3.6813" Properties=species:S:1:pos:R:3 pbc="T T T"
Ni 2.9903 0.1811 1.0880
Ni 0.0000 0.0000 0.0000
Ag 0.8198 -0.3033 2.4659
Os 1.8563 -1.8391 -0.1275
```

***

(2)
An optimized crystal structure of Sr2InHg3Au4, computed with GGA-PBE.

Total magnetization, μB per formula unit: 0.000
Energy of formation from the pure elements, eV per atom: -0.41

extended XYZ file:
```
10
Lattice="-3.0486 2.6638 1.7755 -1.1223 -3.1855 2.8523 8.8155 4.4581 8.4477" Properties=species:S:1:pos:R:3 pbc="T T T"
Au 2.5635 -0.0126 4.4204
Hg 0.6824 -0.9639 2.6178
Au -2.0854 -0.2608 2.3139
In 2.3223 1.9682 6.5377
Sr 5.9970 1.7238 7.7107
Au 0.0000 0.0000 0.0000
Sr 0.7330 2.4735 3.0509
Hg 4.4078 2.2291 4.2238
Hg 6.0476 5.1612 8.1437
Au 4.1665 4.2099 6.3412
```

***

(3)
An optimized crystal structure of Re2RuPt, computed with GGA-PBE.

Excess energy over the best structure of this formula in the dataset, meV per atom: 99
Total magnetization, μB per formula unit: 0.000
Energy of formation from the pure elements, eV per atom: -0.03

extended XYZ file:
```
4
Lattice="-2.6069 0.9154 3.8321 0.6109 -3.5474 3.0597 3.1432 2.6660 -2.3090" Properties=species:S:1:pos:R:3 pbc="T T T"
Re 0.0000 0.0000 0.0000
Re 1.3781 -1.0987 2.0983
Ru -0.9980 -1.3160 3.4459
Pt -0.2309 1.1327 2.4845
```

***

(4)
An optimized crystal structure of YMnP2, computed with GGA-PBE.

Excess energy over the best structure of this formula in the dataset, meV per atom: 864
Total magnetization, μB per formula unit: 3.409
Energy of formation from the pure elements, eV per atom: 0.04

extended XYZ file:
```
4
Lattice="4.6202 0.0000 0.0000 2.3101 4.0012 0.0000 2.3101 1.3337 3.7724" Properties=species:S:1:pos:R:3 pbc="T T T"
P 2.3101 1.3337 0.9431
Y 6.9303 4.0012 2.8293
P 0.0000 0.0000 0.0000
Mn 4.6202 2.6675 1.8862
```

***

(5)
An optimized crystal structure of Nd2Nb2O7, computed with GGA-PBE.

Total magnetization, μB per formula unit: 2.007
DFT total energy, eV/cell: -192.1

extended XYZ file:
```
22
Lattice="-6.4988 -3.7744 0.4046 0.0129 -7.5262 -0.0036 -1.7788 -3.7692 6.2668" Properties=species:S:1:pos:R:3 pbc="T T T"
O -3.8143 -3.7711 3.0744
Nd -4.2760 -7.5340 1.0339
O -6.1985 -11.3024 5.0008
O -2.7639 -9.7095 5.0279
O -2.7713 -5.3572 5.0300
Nd -1.9161 -7.5314 3.9651
O -3.0641 -2.1816 0.4316
Nb -1.9225 -3.7683 3.9669
Nd -5.1654 -9.4186 4.1673
O -4.1323 -7.5349 3.3339
O -6.5295 -7.5399 5.2639
Nb -1.0331 -1.8837 0.8335
O -3.0587 -5.3555 0.4301
Nd -5.1719 -5.6555 4.1692
O -1.7352 -7.5299 1.4038
O -0.3181 -3.7638 0.2595
O -5.4934 -9.7126 1.6378
O -1.0682 -5.3533 2.9023
Nb -4.2825 -3.7709 1.0358
O -5.5008 -5.3603 1.6399
Nb -1.0266 -5.6468 0.8317
O -1.0737 -2.1794 2.9038
```

***

(6)
An optimized crystal structure of Tl8Hg5Au, computed with GGA-PBE.

Total magnetization, μB per formula unit: 0.000
Energy of formation from the pure elements, eV per atom: 0.00

extended XYZ file:
```
14
Lattice="-2.2749 5.1698 -5.8740 -0.4428 -7.6414 -2.7963 -4.9412 0.8227 6.4276" Properties=species:S:1:pos:R:3 pbc="T T T"
Tl -5.8144 0.8210 0.9471
Tl -2.3768 -2.0276 -3.1489
Hg -3.6757 -1.8366 -6.0965
Hg -2.8864 2.4255 -6.0735
Au -4.4960 -1.9112 1.9540
Tl -2.6750 -0.3510 0.1184
Tl -5.9010 4.8874 -1.5303
Tl -6.1515 -2.8874 -0.3754
Tl -3.8974 2.3904 -2.8214
Hg -5.0623 -0.5529 -2.1955
Hg -1.0269 1.0134 -2.4215
Hg -3.6080 2.9963 0.2768
Tl -0.5901 -4.9466 -2.6981
Tl -3.2289 -4.4814 0.5378
```

***

(7)
An optimized crystal structure of Ho2ErAg, computed with GGA-PBE.

Excess energy over the best structure of this formula in the dataset, meV per atom: 0
Total magnetization, μB per formula unit: 0.000
Energy of formation from the pure elements, eV per atom: -0.13

extended XYZ file:
```
4
Lattice="-1.7448 -2.8263 -1.2093 -0.4394 -1.1469 3.3145 -7.5830 4.4523 0.5352" Properties=species:S:1:pos:R:3 pbc="T T T"
Ho -5.9380 3.4865 0.4191
Ho -1.6449 0.9658 0.1161
Ag -1.0921 -1.9866 1.0526
Er -4.8836 0.2395 1.3202
```

***

(8)
An optimized crystal structure of Nd6GaCo2Br3, computed with GGA-PBE.

Total magnetization, μB per formula unit: 0.000
DFT total energy, eV/cell: -60.1

extended XYZ file:
```
12
Lattice="4.0371 0.0000 0.0000 0.0000 9.1460 -0.1625 -2.0186 -3.1594 9.2393" Properties=species:S:1:pos:R:3 pbc="T T T"
Br 2.0186 4.5730 -0.0812
Co 0.0000 2.0685 3.0907
Br 2.0186 -0.6698 6.2001
Co 2.0186 3.9180 5.9861
Nd 0.0000 2.0084 5.7987
Nd 2.0186 3.8335 8.6822
Br 0.0000 6.6563 2.8767
Nd 2.0186 3.9782 3.2781
Nd 0.0000 5.8131 6.1020
Nd 0.0000 2.1530 0.3946
Ga 2.0186 0.0000 0.0000
Nd 2.0186 0.1735 2.9747
```